Computed, not measured: crystalline NbW2 at its relaxed geometry at the GGA-PBE level of DFT.

Calculated values
For the total magnetic moment, the calculation gives 0.001 μB per atom. The value obtained for the formation energy is 12.9 kJ per mole of atoms.

```
NbW2
1.0
5.320 0.000 0.000
-2.660 4.607 0.000
0.000 0.000 8.660
W Nb
8 4
Cartesian
0.000 0.000 0.000 W
1.301 3.823 6.495 W
3.962 0.784 2.165 W
-1.301 3.823 6.495 W
1.359 0.784 2.165 W
0.000 0.000 4.330 W
2.660 3.039 2.165 W
0.000 1.569 6.495 W
2.660 1.536 8.192 Nb
2.660 1.536 4.799 Nb
0.000 3.072 3.861 Nb
0.000 3.072 0.469 Nb
```



Computed, not measured: crystalline NaAgTePdSe2 at its relaxed geometry at the GGA-PBE level of DFT.

Calculated values
The calculation puts the total energy at -3.535 eV per atom.

```
NaAgTePdSe2
1.0
-6.228 -1.612 3.470
4.654 -1.068 -5.534
4.975 -7.217 5.578
Ag Pd Te Se Na
2 2 2 4 2
Cartesian
-0.201 -3.177 0.907 Ag
3.602 -6.720 2.607 Ag
2.488 -3.609 2.789 Pd
0.000 0.000 0.000 Pd
7.435 -6.529 -0.565 Te
-4.034 -3.369 4.078 Te
0.204 -4.880 2.809 Se
3.197 -5.018 0.705 Se
5.494 -8.349 3.279 Se
-2.093 -1.549 0.234 Se
3.393 -2.998 -2.067 Na
0.008 -6.900 5.580 Na
```



Computed, not measured: crystalline MgScInFe at its relaxed geometry at the GGA-PBE level of DFT.

Calculated values
For the total magnetic moment, the calculation gives 0.476 μB per atom. The value obtained for the energy above the lowest structure with this stoichiometry is 0 meV per atom.

```
MgScInFe
1.0
-1.572 -4.474 0.295
-3.397 -1.524 -2.951
1.053 -3.119 -3.426
Fe In Mg Sc
1 1 1 1
Cartesian
-1.958 -4.558 -3.041 Fe
0.000 0.000 0.000 In
-0.979 -2.279 -1.521 Mg
-2.938 -6.837 -4.562 Sc
```



Computed, not measured: crystalline PuTlIn at its relaxed geometry at the GGA-PBE level of DFT.

Calculated values
For the total magnetic moment, the calculation gives 1.990 μB per atom. The value obtained for the energy above the lowest structure with this stoichiometry is 0 meV per atom.

```
PuTlIn
1.0
0.000 3.541 3.541
3.541 0.000 3.541
3.541 3.541 0.000
Tl Pu In
1 1 1
Cartesian
0.000 0.000 0.000 Tl
5.312 5.312 5.312 Pu
1.771 1.771 1.771 In
```



Computed, not measured: crystalline MgUPa at its relaxed geometry at the GGA-PBE level of DFT.

Calculated values
For the total magnetic moment, the calculation gives 1.639 μB per atom. The value obtained for the energy above the lowest structure with this stoichiometry is 0 meV per atom.

```
MgUPa
1.0
-0.157 -2.474 4.140
-4.123 -2.064 1.422
-0.444 -4.804 -0.076
Mg U Pa
1 1 1
Cartesian
-1.181 -2.336 1.372 Mg
0.000 0.000 0.000 U
-3.543 -7.007 4.115 Pa
```



Computed, not measured: crystalline NbRePb at its relaxed geometry at the GGA-PBE level of DFT.

Calculated values
For the total magnetic moment, the calculation gives 0.005 μB per atom. The value obtained for the energy above the lowest structure with this stoichiometry is 0 meV per atom.

```
NbRePb
1.0
-3.149 -0.423 3.219
-1.219 3.596 2.459
-4.086 1.854 -0.575
Nb Pb Re
1 1 1
Cartesian
-2.113 1.257 1.276 Nb
-6.340 3.770 3.827 Pb
0.000 0.000 0.000 Re
```